! Lu2Fe14C | OQMD | PBE | optimized geometry; values from VASP
! Crystal system ... tetragonal
! Electronic total energy ... -544.558 eV/cell
! Space-group type ... P4_2/mnm (136)
&SYSTEM
  ibrav = 0, nat = 68, ntyp = 3
/
ATOMIC_SPECIES
Lu 174.97 Lu.upf
Fe 55.84 Fe.upf
C 12.01 C.upf
ATOMIC_POSITIONS crystal
Lu 0.143 0.143 0.000
Lu 0.242 0.242 0.500
Lu 0.258 0.742 0.000
Lu 0.357 0.643 0.500
Lu 0.643 0.357 0.500
Lu 0.742 0.258 0.000
Lu 0.758 0.758 0.500
Lu 0.857 0.857 0.000
Fe 0.000 0.000 0.391
Fe 0.000 0.000 0.609
Fe 0.000 0.500 0.000
Fe 0.000 0.500 0.500
Fe 0.036 0.643 0.174
Fe 0.036 0.643 0.826
Fe 0.064 0.725 0.380
Fe 0.064 0.725 0.620
Fe 0.097 0.903 0.201
Fe 0.097 0.903 0.799
Fe 0.143 0.464 0.326
Fe 0.143 0.464 0.674
Fe 0.184 0.184 0.255
Fe 0.184 0.184 0.745
Fe 0.225 0.436 0.120
Fe 0.225 0.436 0.880
Fe 0.275 0.936 0.380
Fe 0.275 0.936 0.620
Fe 0.316 0.684 0.245
Fe 0.316 0.684 0.755
Fe 0.357 0.964 0.174
Fe 0.357 0.964 0.826
Fe 0.403 0.403 0.299
Fe 0.403 0.403 0.701
Fe 0.436 0.225 0.120
Fe 0.436 0.225 0.880
Fe 0.464 0.143 0.326
Fe 0.464 0.143 0.674
Fe 0.500 0.000 0.000
Fe 0.500 0.000 0.500
Fe 0.500 0.500 0.109
Fe 0.500 0.500 0.891
Fe 0.536 0.857 0.326
Fe 0.536 0.857 0.674
Fe 0.564 0.775 0.120
Fe 0.564 0.775 0.880
Fe 0.597 0.597 0.299
Fe 0.597 0.597 0.701
Fe 0.643 0.036 0.174
Fe 0.643 0.036 0.826
Fe 0.684 0.316 0.245
Fe 0.684 0.316 0.755
Fe 0.725 0.064 0.380
Fe 0.725 0.064 0.620
Fe 0.775 0.564 0.120
Fe 0.775 0.564 0.880
Fe 0.816 0.816 0.255
Fe 0.816 0.816 0.745
Fe 0.857 0.536 0.326
Fe 0.857 0.536 0.674
Fe 0.903 0.097 0.201
Fe 0.903 0.097 0.799
Fe 0.936 0.275 0.380
Fe 0.936 0.275 0.620
Fe 0.964 0.357 0.174
Fe 0.964 0.357 0.826
C 0.128 0.872 0.500
C 0.372 0.372 0.000
C 0.628 0.628 0.000
C 0.872 0.128 0.500
CELL_PARAMETERS angstrom
8.678 0.000 0.000
0.000 8.678 0.000
0.000 0.000 11.595